(1)
This record from Alexandria describes Y2AlGaO at its PBEsol-relaxed geometry. The functional is SCAN.

Computed properties:
The volume is 111.52 Å³/cell. The value obtained for the uncorrected energy is -17.684 eV/atom. The value obtained for the uncorrected formation energy is -0.48 eV per atom. As for the crystal system: tetragonal. For the spin magnetization, the calculation gives 0.93 μB per formula unit.

abc: 5.650 5.650 3.494
angles: 90.00 90.00 90.00
Space group P4/mmm (No. 123)
Asymmetric unit:
Y 0.000 0.500 0.000
Al 0.000 0.000 0.000
Ga 0.500 0.500 0.500
O 0.000 0.000 0.500

---

(2)
This record from Alexandria describes AlGa3P at its PBEsol-relaxed geometry. The functional is SCAN.

Computed properties:
The volume is 106.37 Å³/cell. The value obtained for the uncorrected energy is -12.881 eV/atom. As for the crystal system: cubic. For the spin magnetization, the calculation gives 0.00 μB per formula unit. The energy relative to the elements comes out at 0.557 eV/atom.

abc: 4.738 4.738 4.738
angles: 90.00 90.00 90.00
Space group Pm-3m (No. 221)
Asymmetric unit:
Al 0.000 0.000 0.000
Ga 0.000 0.500 0.500
P 0.500 0.500 0.500

---

(3)
This record from Alexandria describes AlGaP3 at its PBEsol-relaxed geometry. The functional is SCAN.

Computed properties:
The volume is 98.29 Å³/cell. The value obtained for the uncorrected energy is -10.311 eV/atom. As for the crystal system: cubic. For the spin magnetization, the calculation gives 0.00 μB per formula unit. The energy relative to the elements comes out at 0.748 eV/atom.

abc: 4.615 4.615 4.615
angles: 90.00 90.00 90.00
Space group Pm-3m (No. 221)
Asymmetric unit:
Al 0.000 0.000 0.000
Ga 0.500 0.500 0.500
P 0.000 0.000 0.500

---

What did the third record say?
This record from Alexandria describes AlGaP3 at its PBEsol-relaxed geometry. The functional is SCAN.

Computed properties:
The volume is 98.29 Å³/cell. The value obtained for the uncorrected energy is -10.311 eV/atom. As for the crystal system: cubic. For the spin magnetization, the calculation gives 0.00 μB per formula unit. The energy relative to the elements comes out at 0.748 eV/atom.

abc: 4.615 4.615 4.615
angles: 90.00 90.00 90.00
Space group Pm-3m (No. 221)
Asymmetric unit:
Al 0.000 0.000 0.000
Ga 0.500 0.500 0.500
P 0.000 0.000 0.500